# 1
A plane-wave DFT calculation with PBE was carried out for a geometry-optimized RbLiPrCl5 structure.

```
RbLiPrCl5
1.0
7.716 -0.012 -0.091
-2.264 7.376 -0.091
-2.374 -3.207 9.586
Rb Li Pr Cl
2 2 2 10
direct
0.347 0.653 0.250
0.653 0.347 0.750
0.690 0.310 0.250
0.310 0.690 0.750
0.000 0.000 0.500
0.000 0.000 0.000
0.082 0.918 0.250
0.918 0.082 0.750
0.905 0.307 0.115
0.095 0.693 0.885
0.693 0.095 0.385
0.307 0.905 0.615
0.755 0.621 0.418
0.245 0.379 0.582
0.379 0.245 0.082
0.621 0.755 0.918
```

Summary:
Mass density ... 2.5 g cm⁻³
Uncorrected formation energy ... -2.0915 eV/atom
DOS at the Fermi energy ... 0.00 states/eV/cell
VASP energy ... -4.20 eV/atom

# 2
A plane-wave DFT calculation with PBE was carried out for a geometry-optimized AcAl2SiOs2 structure.

```
AcAl2SiOs2
1.0
4.493 0.000 0.000
0.000 4.493 0.000
0.000 0.000 5.973
Ac Al Si Os
1 2 1 2
direct
0.000 0.000 0.500
0.500 0.500 0.747
0.500 0.500 0.253
0.000 0.000 0.000
0.500 0.000 0.000
0.000 0.500 0.000
```

Summary:
Mass density ... 9.5 g cm⁻³
Uncorrected formation energy ... -0.2281 eV/atom
DOS at the Fermi energy ... 4.08 states/eV/cell
VASP energy ... -6.81 eV/atom

# 3
A plane-wave DFT calculation with PBE was carried out for a geometry-optimized InAgP2 structure.

```
InAgP2
1.0
4.637 0.064 0.000
-1.437 4.409 0.000
0.000 0.000 3.696
Ag In P
1 1 2
direct
0.500 0.000 0.500
0.000 0.500 0.500
0.000 0.000 0.000
0.500 0.500 0.000
```

Summary:
Mass density ... 6.2 g cm⁻³
Energy of formation from the pure elements ... 434 meV per atom
DOS at the Fermi energy ... 1.58 states/eV/cell
VASP energy ... -3.67 eV/atom

# 4
A plane-wave DFT calculation with PBE was carried out for a geometry-optimized K5Sc2Cl12 structure.

```
K5Sc2Cl12
1.0
7.454 0.000 0.000
-3.727 8.369 -2.305
0.000 -0.302 10.142
K Sc Cl
5 2 12
direct
0.302 0.604 0.640
0.305 0.610 0.161
0.000 0.000 0.500
0.695 0.390 0.839
0.698 0.396 0.360
0.751 0.000 0.000
0.249 0.000 0.000
0.001 0.003 0.171
0.107 0.706 0.929
0.598 0.706 0.929
0.107 0.702 0.422
0.595 0.702 0.422
0.499 0.998 0.827
0.501 0.002 0.173
0.893 0.298 0.578
0.405 0.298 0.578
0.893 0.294 0.071
0.402 0.294 0.071
0.999 0.997 0.829
```

Summary:
Mass density ... 1.9 g cm⁻³
Uncorrected formation energy ... -1.8853 eV/atom
DOS at the Fermi energy ... 1.19 states/eV/cell
VASP energy ... -4.01 eV/atom

# 5
A plane-wave DFT calculation with PBE was carried out for a geometry-optimized CoSbCl2 structure.

```
CoSbCl2
1.0
3.155 0.000 0.000
0.000 6.236 1.778
0.000 2.757 5.870
Sb Co Cl
1 1 2
direct
0.500 0.750 0.750
0.500 0.250 0.250
0.000 0.117 0.117
0.000 0.383 0.383
```

Summary:
Distance to the lowest polymorph of the same formula ... 76 meV/atom
Mass density ... 4.2 g cm⁻³
Uncorrected formation energy ... -0.1809 eV/atom
DOS at the Fermi energy ... 2.53 states/eV/cell
VASP energy ... -3.91 eV/atom

# 6
A plane-wave DFT calculation with PBE was carried out for a geometry-optimized SmHoS3 structure.

```
SmHoS3
1.0
-3.760 0.292 -1.163
-0.935 -7.191 1.222
-4.219 2.995 14.397
Sm Ho S
4 4 12
direct
0.750 0.857 0.798
0.250 0.143 0.202
0.750 0.357 0.702
0.250 0.643 0.298
0.250 0.268 0.957
0.250 0.768 0.543
0.750 0.232 0.457
0.750 0.732 0.043
0.250 0.376 0.564
0.750 0.851 0.216
0.750 0.489 0.894
0.750 0.989 0.606
0.750 0.624 0.436
0.250 0.011 0.394
0.250 0.876 0.936
0.750 0.351 0.284
0.250 0.649 0.716
0.250 0.149 0.784
0.750 0.124 0.064
0.250 0.511 0.106
```

Summary:
Distance to the lowest polymorph of the same formula ... 0 meV/atom
Mass density ... 6.2 g cm⁻³
Uncorrected formation energy ... -2.0792 eV/atom
VASP energy ... -6.42 eV/atom

# 7
A plane-wave DFT calculation with PBE was carried out for a geometry-optimized PuReMo structure.

```
PuReMo
1.0
3.118 0.000 0.000
0.000 3.118 0.000
-1.559 -1.559 5.689
Re Mo Pu
1 1 1
direct
0.687 0.687 0.374
0.312 0.312 0.624
0.001 0.001 0.002
```

Summary:
Distance to the lowest polymorph of the same formula ... 27 meV/atom
Mass density ... 15.8 g cm⁻³
Energy of formation from the pure elements ... 206 meV per atom
DOS at the Fermi energy ... 5.99 states/eV/cell
VASP energy ... -12.33 eV/atom

# 8
A plane-wave DFT calculation with PBE was carried out for a geometry-optimized Si2AsSe structure.

```
Si2AsSe
1.0
-1.060 -3.017 -0.764
0.966 -1.086 2.949
-5.862 1.438 2.450
As Se Si
1 1 2
direct
0.500 0.500 0.250
0.500 0.500 0.750
0.000 0.000 0.009
0.000 0.000 0.491
```

Summary:
Distance to the lowest polymorph of the same formula ... 516 meV/atom
Mass density ... 5.0 g cm⁻³
Uncorrected formation energy ... 0.5011 eV/atom
DOS at the Fermi energy ... 0.70 states/eV/cell
VASP energy ... -4.24 eV/atom

Which of these has the lowest mass density?
K5Sc2Cl12

Which value of VASP energy does entry 1 give?
-4.20 eV/atom

Look up the VASP energy of the seventh one.
-12.33 eV/atom